Rb3NiTe2O9 (PBE+U, relaxed); total DFT energy (no corrections) = -71.86 eV per cell; DOS(E_F) = 9.3 states/eV/f.u.; calculated density = 5.7 g/cm³
1.0
5.815 0.000 0.000
-2.908 5.036 0.000
0.000 0.000 7.152
Rb Ni Te O
3 1 2 9
Cartesian
0.000 0.000 0.000 Rb
0.000 3.358 4.724 Rb
2.908 1.679 2.427 Rb
0.000 0.000 3.576 Ni
0.000 3.358 1.252 Te
2.908 1.679 5.900 Te
-1.454 2.518 0.000 O
0.000 1.749 2.284 O
-1.393 4.162 2.284 O
1.514 0.874 4.868 O
2.908 0.000 0.000 O
1.454 2.518 0.000 O
1.393 4.162 2.284 O
4.301 0.874 4.868 O
2.908 3.288 4.868 O